# PBE+U KReNiO2, relaxed
# final energy = -4.980 eV/atom
# total moment = 0.00 μB/atom
# DOS at the Fermi energy = 0.60 states/eV/atom
data_KReNiO2
_chemical_formula_sum 'K1 Re1 Ni1 O2'
_cell_length_a 3.7865
_cell_length_b 3.7865
_cell_length_c 6.9702
_cell_angle_alpha 90.00
_cell_angle_beta 90.00
_cell_angle_gamma 90.00
_symmetry_space_group_name_H-M 'P 4/m m m'
_symmetry_Int_Tables_number 123
_symmetry_space_group_name_Hall '-P 4 2'
loop_
_atom_site_label
_atom_site_type_symbol
_atom_site_fract_x
_atom_site_fract_y
_atom_site_fract_z
K1 K 0.0000 0.0000 0.0000
Re1 Re 0.0000 0.0000 0.5000
Ni1 Ni 0.5000 0.5000 0.0000
O1 O 0.0000 0.5000 0.5000